# K6Rb12Li PBE relaxed
# ΔH_f (0 K)   0.034 eV per atom
data_K6Rb12Li
_cell_length_a 21.1480
_cell_length_b 21.1480
_cell_length_c 11.8726
_cell_angle_alpha 90.00
_cell_angle_beta 90.00
_cell_angle_gamma 120.00
_symmetry_space_group_name_H-M 'R -3'
_symmetry_Int_Tables_number 148
_symmetry_space_group_name_Hall '-R 3'
loop_
_atom_site_label
_atom_site_type_symbol
_atom_site_fract_x
_atom_site_fract_y
_atom_site_fract_z
_atom_site_occupancy
K1 K 0.0140 0.8859 0.1795 1
Rb1 Rb 0.0343 0.7575 0.8624 1
Rb2 Rb 0.0817 0.5166 0.1581 1
Li1 Li 0.0000 0.0000 0.5000 1

---

# InPbBr3 PBE relaxed
# Energy relative to the elements, uncorrected   -0.81 eV per atom
data_InPbBr3
_cell_length_a 8.9553
_cell_length_b 4.4854
_cell_length_c 9.4600
_cell_angle_alpha 90.00
_cell_angle_beta 95.30
_cell_angle_gamma 90.00
_symmetry_space_group_name_H-M 'P 1 21/m 1'
_symmetry_Int_Tables_number 11
_symmetry_space_group_name_Hall '-P 2yb'
loop_
_atom_site_label
_atom_site_type_symbol
_atom_site_fract_x
_atom_site_fract_y
_atom_site_fract_z
_atom_site_occupancy
In1 In 0.1240 0.2500 0.3084 1
Pb1 Pb 0.3377 0.7500 0.8418 1
Br1 Br 0.1228 0.2500 0.8876 1
Br2 Br 0.1989 0.7500 0.5420 1
Br3 Br 0.4177 0.7500 0.1728 1

---

Table of VASP energy (Ry per atom), in record order: -0.075, -0.228
Table of calculated volume (Å³ per cell), in record order: 4598.5, 378.4
Table of magnetization (μB/atom), in record order: 0.00, 0.00